# 1
{
  "formula": "LaAlHg",
  "functional": "SCAN",
  "state": "PBEsol geometry",
  "e_tot_ev_per_atom": -40.37,
  "n_ef_per_ev_fu": 0.08,
  "rho_g_cm3": 8.3,
  "delta_e_f_mev_per_atom": -691.3,
  "cell": [[4.705, 0.000, 0.000], [-2.353, 4.075, 0.000], [0.000, 0.000, 7.681]],
  "species": ["Hg", "Hg", "Al", "Al", "La", "La"],
  "frac_coords": [[0.333, 0.667, 0.279], [0.333, 0.667, 0.721], [0.667, 0.333, 0.788], [0.667, 0.333, 0.212], [0.000, 0.000, 0.000], [0.000, 0.000, 0.500]]
}

=====

# 2
{
  "formula": "Ta3NbH",
  "functional": "SCAN",
  "state": "PBEsol geometry",
  "e_tot_ev_per_atom": -47.10,
  "n_ef_per_ev_fu": 4.75,
  "rho_g_cm3": 14.2,
  "cell": [[-0.462, 1.191, -4.007], [-3.886, -1.609, -0.030], [-1.541, 3.699, 1.277]],
  "species": ["H", "Nb", "Ta", "Ta", "Ta"],
  "frac_coords": [[0.000, 0.000, 0.000], [0.500, 0.500, 0.500], [0.000, 0.500, 0.000], [0.000, 0.000, 0.500], [0.500, 0.000, 0.000]]
}

=====

# 3
{
  "formula": "NaTi2P3O12",
  "functional": "SCAN",
  "state": "PBEsol geometry",
  "relative_energy_ev_per_atom": 0.000,
  "e_tot_ev_per_atom": -10.73,
  "raw_formation_energy_ev_per_fu": -50.9,
  "n_ef_per_ev_fu": 0.00,
  "rho_g_cm3": 2.9,
  "cell": [[8.555, 0.000, 0.000], [4.278, 7.409, 0.000], [4.278, 2.470, 7.259]],
  "species": ["Na", "Na", "Ti", "Ti", "Ti", "Ti", "P", "P", "P", "P", "P", "P", "O", "O", "O", "O", "O", "O", "O", "O", "O", "O", "O", "O", "O", "O", "O", "O", "O", "O", "O", "O", "O", "O", "O", "O"],
  "frac_coords": [[0.500, 0.500, 0.500], [0.000, 0.000, 0.000], [0.856, 0.856, 0.432], [0.644, 0.644, 0.068], [0.356, 0.356, 0.932], [0.144, 0.144, 0.568], [0.963, 0.537, 0.250], [0.537, 0.250, 0.250], [0.037, 0.463, 0.750], [0.463, 0.750, 0.750], [0.250, 0.963, 0.250], [0.750, 0.037, 0.750], [0.923, 0.060, 0.739], [0.060, 0.278, 0.739], [0.278, 0.923, 0.739], [0.577, 0.222, 0.761], [0.222, 0.440, 0.761], [0.440, 0.577, 0.761], [0.077, 0.940, 0.261], [0.940, 0.722, 0.261], [0.722, 0.077, 0.261], [0.423, 0.778, 0.239], [0.778, 0.560, 0.239], [0.560, 0.423, 0.239], [0.498, 0.711, 0.923], [0.868, 0.498, 0.923], [0.711, 0.868, 0.923], [0.632, 0.789, 0.577], [0.002, 0.632, 0.577], [0.789, 0.002, 0.577], [0.502, 0.289, 0.077], [0.132, 0.502, 0.077], [0.289, 0.132, 0.077], [0.368, 0.211, 0.423], [0.998, 0.368, 0.423], [0.211, 0.998, 0.423]]
}

=====

# 4
{
  "formula": "ScMoRu",
  "functional": "SCAN",
  "state": "PBEsol geometry",
  "relative_energy_ev_per_atom": 0.000,
  "e_tot_ev_per_atom": -28.19,
  "n_ef_per_ev_fu": 1.25,
  "rho_g_cm3": 8.4,
  "delta_e_f_mev_per_atom": -208.4,
  "cell": [[-0.524, 1.844, 2.419], [2.118, -1.541, 1.634], [2.743, 2.989, -3.654]],
  "species": ["Mo", "Ru", "Sc"],
  "frac_coords": [[0.012, 0.012, 0.025], [0.658, 0.658, 0.316], [0.330, 0.330, 0.659]]
}

=====

# 5
{
  "formula": "ScTlCd",
  "functional": "SCAN",
  "state": "PBEsol geometry",
  "e_tot_ev_per_atom": -39.28,
  "n_ef_per_ev_fu": 1.88,
  "rho_g_cm3": 9.1,
  "delta_e_f_mev_per_atom": -271.8,
  "cell": [[-2.898, -0.569, -1.461], [2.030, -3.430, -2.689], [-1.930, -1.113, 4.261]],
  "species": ["Sc", "Tl", "Cd"],
  "frac_coords": [[0.656, 0.667, 0.333], [0.236, 0.333, 0.667], [0.109, 0.000, 0.000]]
}

=====

# 6
{
  "formula": "Cr5Mo4",
  "functional": "SCAN",
  "state": "PBEsol geometry",
  "e_tot_ev_per_atom": -25.62,
  "n_ef_per_ev_fu": 4.95,
  "rho_g_cm3": 9.1,
  "delta_e_f_mev_per_atom": 101.2,
  "cell": [[2.980, 0.000, 0.000], [1.490, 6.286, 0.000], [1.490, 0.000, 6.286]],
  "species": ["Cr", "Cr", "Cr", "Cr", "Cr", "Mo", "Mo", "Mo", "Mo"],
  "frac_coords": [[0.000, 0.000, 0.000], [0.337, 0.000, 0.326], [0.337, 0.326, 0.000], [0.663, 0.674, 0.000], [0.663, 0.000, 0.674], [0.000, 0.324, 0.676], [0.000, 0.676, 0.324], [0.324, 0.676, 0.676], [0.676, 0.324, 0.324]]
}

=====

# 7
{
  "formula": "BaCrIn",
  "functional": "SCAN",
  "state": "PBEsol geometry",
  "e_tot_ev_per_atom": -30.42,
  "n_ef_per_ev_fu": 1.36,
  "rho_g_cm3": 5.9,
  "delta_e_f_mev_per_atom": 20.1,
  "cell": [[3.749, 0.000, 0.000], [0.000, 3.749, 0.000], [-1.874, -1.874, 6.068]],
  "species": ["Ba", "Cr", "In"],
  "frac_coords": [[0.002, 0.002, 0.003], [0.292, 0.292, 0.584], [0.707, 0.707, 0.413]]
}

=====

# 8
{
  "formula": "LaSbRu",
  "functional": "SCAN",
  "state": "PBEsol geometry",
  "e_tot_ev_per_atom": -39.01,
  "raw_formation_energy_ev_per_fu": -1.8,
  "n_ef_per_ev_fu": 4.32,
  "rho_g_cm3": 8.3,
  "cell": [[-0.896, -1.837, -3.575], [0.285, -4.023, 1.995], [-3.938, 2.173, -0.130]],
  "species": ["La", "Ru", "Sb"],
  "frac_coords": [[0.000, 0.000, 0.000], [0.500, 0.333, 0.667], [0.500, 0.667, 0.333]]
}